# LiTb2YSe4

A relaxed LiTb2YSe4 crystal (GGA-PBE, Alexandria via LeMat-Bulk).

Computed properties:
The formation energy from raw total energies comes out at -1754 meV/atom. Its total DFT energy (no corrections) is -5.701 eV per atom.

```
data_LiTb2YSe4
_chemical_formula_sum 'Li1 Tb2 Y1 Se4'
_cell_length_a 4.0559
_cell_length_b 7.0401
_cell_length_c 7.0390
_cell_angle_alpha 109.29
_cell_angle_beta 90.00
_cell_angle_gamma 90.00
_space_group_name_H-M_alt 'P 1'
_space_group_IT_number 1
_space_group_name_Hall 'P 1'
loop_
_atom_site_label
_atom_site_type_symbol
_atom_site_fract_x
_atom_site_fract_y
_atom_site_fract_z
_atom_site_occupancy
Se1 Se 0.5000 0.2551 0.2438 1
Se2 Se 0.5000 0.7449 0.7562 1
Se3 Se 0.0000 0.2572 0.7577 1
Se4 Se 0.0000 0.7428 0.2423 1
Tb1 Tb 0.5000 0.0000 0.5000 1
Tb2 Tb 0.0000 0.5000 0.5000 1
Li1 Li 0.5000 0.5000 0.0000 1
Y1 Y 0.0000 0.0000 0.0000 1
```